Crystalline Nd6MgAl3 at its relaxed geometry, computed with PBE.

a = 8.686 Å, b = 7.847 Å, c = 8.716 Å
α = 90.00°, β = 94.49°, γ = 90.00°
Element x y z (fractional)
Nd: 0.669 0.171 0.925
Nd: 0.658 0.128 0.562
Nd: 0.776 0.384 0.262
Nd: 0.224 0.616 0.738
Nd: 0.342 0.872 0.438
Nd: 0.331 0.829 0.075
Nd: 0.169 0.329 0.425
Nd: 0.158 0.372 0.062
Nd: 0.276 0.116 0.762
Nd: 0.724 0.884 0.238
Nd: 0.842 0.628 0.938
Nd: 0.831 0.671 0.575
Mg: 0.500 0.500 0.500
Mg: 0.000 0.000 0.000
Al: 0.542 0.817 0.781
Al: 0.500 0.500 0.000
Al: 0.458 0.183 0.219
Al: 0.042 0.683 0.281
Al: 0.000 0.000 0.500
Al: 0.958 0.317 0.719

Properties
Magnetization = 0.00 μB per cell
Energy of formation = -0.05 eV/atom
VASP energy = -4.19 eV/atom
Fermi-level density of states = 10.10 states/eV/f.u.
Symmetry = No. 14